# 1
The following is a DFT calculation (PBE+U) of crystalline SmPuMnO6 at its relaxed geometry.

crystal system = trigonal

Unit cell a=5.7713 b=5.7713 c=8.8787 alpha=90.00 beta=90.00 gamma=120.00
Last column: nearest neighbours and their distance in Å.
Atoms (fractional coordinates):
Sm  0.3333  0.6667  0.2500  6 O 2.34
Sm  0.6667  0.3333  0.7500  6 O 2.34
Pu  0.6667  0.3333  0.2500  6 O 2.03
Pu  0.3333  0.6667  0.7500  6 O 2.03
Mn  0.0000  0.0000  0.0000  6 O 2.30
Mn  0.0000  0.0000  0.5000  6 O 2.30
O  0.6771  0.6355  0.1286  1 Pu 2.03
O  0.9584  0.3229  0.1286  1 Pu 2.03
O  0.3229  0.9584  0.6286  1 Pu 2.03
O  0.0416  0.6771  0.8714  1 Pu 2.03
O  0.3645  0.3229  0.3714  1 Pu 2.03
O  0.9584  0.6355  0.3714  1 Pu 2.03
O  0.6355  0.9584  0.8714  1 Pu 2.03
O  0.6771  0.0416  0.3714  1 Pu 2.03
O  0.0416  0.3645  0.6286  1 Pu 2.03
O  0.3645  0.0416  0.1286  1 Pu 2.03
O  0.6355  0.6771  0.6286  1 Pu 2.03
O  0.3229  0.3645  0.8714  1 Pu 2.03

# 2
The following is a DFT calculation (PBE+U) of crystalline PuMnSnO6 at its relaxed geometry.

crystal system = trigonal
N(E_F) = 11.60 states/eV per cell

Unit cell a=5.4407 b=5.4407 c=9.3044 alpha=90.00 beta=90.00 gamma=120.00
Last column: nearest neighbours and their distance in Å.
Atoms (fractional coordinates):
Pu  0.6667  0.3333  0.2500  6 O 2.10
Pu  0.3333  0.6667  0.7500  6 O 2.10
Mn  0.0000  0.0000  0.0000  6 O 2.23
Mn  0.0000  0.0000  0.5000  6 O 2.23
Sn  0.3333  0.6667  0.2500  6 O 2.11
Sn  0.6667  0.3333  0.7500  6 O 2.11
O  0.6584  0.6565  0.1311  1 Pu 2.10, 1 Sn 2.11, 1 Mn 2.23
O  0.9982  0.3416  0.1311  1 Pu 2.10, 1 Sn 2.11, 1 Mn 2.23
O  0.3416  0.9982  0.6311  1 Pu 2.10, 1 Sn 2.11, 1 Mn 2.23
O  0.0018  0.6584  0.8689  1 Pu 2.10, 1 Sn 2.11, 1 Mn 2.23
O  0.3435  0.3416  0.3689  1 Pu 2.10, 1 Sn 2.11, 1 Mn 2.23
O  0.9982  0.6565  0.3689  1 Pu 2.10, 1 Sn 2.11, 1 Mn 2.23
O  0.6565  0.9982  0.8689  1 Pu 2.10, 1 Sn 2.11, 1 Mn 2.23
O  0.6584  0.0018  0.3689  1 Pu 2.10, 1 Sn 2.11, 1 Mn 2.23
O  0.0018  0.3435  0.6311  1 Pu 2.10, 1 Sn 2.11, 1 Mn 2.23
O  0.3435  0.0018  0.1311  1 Pu 2.10, 1 Sn 2.11, 1 Mn 2.23
O  0.6565  0.6584  0.6311  1 Pu 2.10, 1 Sn 2.11, 1 Mn 2.23
O  0.3416  0.3435  0.8689  1 Pu 2.10, 1 Sn 2.11, 1 Mn 2.23

# 3
The following is a DFT calculation (PBE+U) of crystalline Sr3PuMn2O9 at its relaxed geometry.

crystal system = trigonal
N(E_F) = 7.30 states/eV per cell

Unit cell a=5.7202 b=5.7202 c=7.1396 alpha=90.00 beta=90.00 gamma=120.00
Last column: nearest neighbours and their distance in Å.
Atoms (fractional coordinates):
Sr  0.3333  0.6667  0.7053  9 O 2.67-2.87
Sr  0.0000  0.0000  0.0000  12 O 2.86-2.88
Sr  0.6667  0.3333  0.2947  9 O 2.67-2.87
Pu  0.0000  0.0000  0.5000  6 O 2.06
Mn  0.3333  0.6667  0.1560  6 O 1.99-2.06
Mn  0.6667  0.3333  0.8440  6 O 1.99-2.06
O  0.8328  0.1672  0.6706  1 Pu 2.06, 1 Mn 2.06
O  0.8328  0.6657  0.6706  1 Pu 2.06, 1 Mn 2.06
O  0.3343  0.1672  0.6706  1 Pu 2.06, 1 Mn 2.06
O  0.6657  0.8328  0.3294  1 Pu 2.06, 1 Mn 2.06
O  0.1672  0.3343  0.3294  1 Pu 2.06, 1 Mn 2.06
O  0.1672  0.8328  0.3294  1 Pu 2.06, 1 Mn 2.06
O  0.5000  0.0000  0.0000  2 Mn 1.99
O  0.0000  0.5000  0.0000  2 Mn 1.99
O  0.5000  0.5000  0.0000  2 Mn 1.99

# 4
The following is a DFT calculation (PBE+U) of crystalline Sr2PuMnO5 at its relaxed geometry.

crystal system = tetragonal
N(E_F) = 4.72 states/eV per cell

Unit cell a=4.2733 b=4.2733 c=8.4804 alpha=90.00 beta=90.00 gamma=90.00
Last column: nearest neighbours and their distance in Å.
Atoms (fractional coordinates):
Sr  0.5000  0.5000  0.7345  1 O 2.25
Sr  0.5000  0.5000  0.2655  1 O 2.25
Pu  0.0000  0.0000  0.5000  6 O 2.14-2.26
Mn  0.0000  0.0000  0.0000  2 O 1.98
O  0.0000  0.5000  0.5000  2 Pu 2.14
O  0.5000  0.0000  0.5000  2 Pu 2.14
O  0.0000  0.0000  0.7670  1 Mn 1.98
O  0.0000  0.0000  0.2330  1 Mn 1.98
O  0.5000  0.5000  0.0000  2 Sr 2.25

# 5
The following is a DFT calculation (PBE+U) of crystalline Tb2PuMnO8 at its relaxed geometry.

crystal system = triclinic

Unit cell a=4.9900 b=4.9953 c=6.9720 alpha=86.08 beta=93.77 gamma=94.47
Last column: nearest neighbours and their distance in Å.
Atoms (fractional coordinates):
Tb  0.4632  0.5351  0.7336  6 O 2.22-2.44
Tb  0.5368  0.4649  0.2664  6 O 2.22-2.44
Pu  0.0000  0.0000  0.0000  4 O 1.90-1.98
Mn  0.0000  0.0000  0.5000  4 O 1.94-1.97
O  0.2017  0.7911  0.1878  1 Pu 1.90
O  0.7044  0.7109  0.9992  1 Pu 1.98
O  0.8437  0.1580  0.2560  1 Mn 1.97
O  0.7983  0.2089  0.8122  1 Pu 1.90
O  0.2956  0.2891  0.0008  1 Pu 1.98
O  0.1563  0.8420  0.7440  1 Mn 1.97
O  0.7138  0.7154  0.5001  1 Mn 1.94
O  0.2862  0.2846  0.4999  1 Mn 1.94

# 6
The following is a DFT calculation (PBE+U) of crystalline TbPuMnO6 at its relaxed geometry.

crystal system = trigonal

Unit cell a=5.6962 b=5.6962 c=8.9482 alpha=90.00 beta=90.00 gamma=120.00
Last column: nearest neighbours and their distance in Å.
Atoms (fractional coordinates):
Tb  0.3333  0.6667  0.2500  6 O 2.29
Tb  0.6667  0.3333  0.7500  6 O 2.29
Pu  0.6667  0.3333  0.2500  6 O 2.02
Pu  0.3333  0.6667  0.7500  6 O 2.02
Mn  0.0000  0.0000  0.0000  6 O 2.29
Mn  0.0000  0.0000  0.5000  6 O 2.29
O  0.6731  0.6379  0.1300  1 Pu 2.02
O  0.9648  0.3269  0.1300  1 Pu 2.02
O  0.3269  0.9648  0.6300  1 Pu 2.02
O  0.0352  0.6731  0.8700  1 Pu 2.02
O  0.3621  0.3269  0.3700  1 Pu 2.02
O  0.9648  0.6379  0.3700  1 Pu 2.02
O  0.6379  0.9648  0.8700  1 Pu 2.02
O  0.6731  0.0352  0.3700  1 Pu 2.02
O  0.0352  0.3621  0.6300  1 Pu 2.02
O  0.3621  0.0352  0.1300  1 Pu 2.02
O  0.6379  0.6731  0.6300  1 Pu 2.02
O  0.3269  0.3621  0.8700  1 Pu 2.02

# 7
The following is a DFT calculation (PBE+U) of crystalline PuMnTcO6 at its relaxed geometry.

crystal system = trigonal
N(E_F) = 13.71 states/eV per cell

Unit cell a=5.3790 b=5.3790 c=9.2399 alpha=90.00 beta=90.00 gamma=120.00
Last column: nearest neighbours and their distance in Å.
Atoms (fractional coordinates):
Pu  0.3333  0.6667  0.2500  6 O 2.15
Pu  0.6667  0.3333  0.7500  6 O 2.15
Mn  0.0000  0.0000  0.0000  6 O 2.24
Mn  0.0000  0.0000  0.5000  6 O 2.24
Tc  0.6667  0.3333  0.2500  6 O 1.98
Tc  0.3333  0.6667  0.7500  6 O 1.98
O  0.6650  0.6413  0.1331  1 Tc 1.98, 1 Pu 2.15
O  0.9762  0.3350  0.1331  1 Tc 1.98, 1 Pu 2.15
O  0.3350  0.9762  0.6331  1 Tc 1.98, 1 Pu 2.15
O  0.0238  0.6650  0.8669  1 Tc 1.98, 1 Pu 2.15
O  0.3587  0.3350  0.3669  1 Tc 1.98, 1 Pu 2.15
O  0.9762  0.6413  0.3669  1 Tc 1.98, 1 Pu 2.15
O  0.6413  0.9762  0.8669  1 Tc 1.98, 1 Pu 2.15
O  0.6650  0.0238  0.3669  1 Tc 1.98, 1 Pu 2.15
O  0.0238  0.3587  0.6331  1 Tc 1.98, 1 Pu 2.15
O  0.3587  0.0238  0.1331  1 Tc 1.98, 1 Pu 2.15
O  0.6413  0.6650  0.6331  1 Tc 1.98, 1 Pu 2.15
O  0.3350  0.3587  0.8669  1 Tc 1.98, 1 Pu 2.15

# 8
The following is a DFT calculation (PBE+U) of crystalline PuMnTeO2 at its relaxed geometry.

crystal system = orthorhombic
N(E_F) = 13.38 states/eV per cell

Unit cell a=5.4592 b=5.4111 c=6.7299 alpha=113.70 beta=90.00 gamma=90.00
Last column: nearest neighbours and their distance in Å.
Atoms (fractional coordinates):
Pu  0.2500  0.5908  0.1816  4 O 2.21
Pu  0.7500  0.4092  0.8184  4 O 2.21
Mn  0.2500  0.9180  0.8359  4 O 2.18
Mn  0.7500  0.0820  0.1641  4 O 2.18
Te  0.7500  0.7518  0.5035  4 Pu 3.33-3.37, 4 Mn 3.41-3.42, 8 O 3.62-3.64
Te  0.2500  0.2482  0.4965  4 Pu 3.33-3.37, 4 Mn 3.41-3.42, 8 O 3.62-3.64
O  0.5000  0.2530  0.0000  2 Mn 2.18, 2 Pu 2.21
O  0.0000  0.7470  0.0000  2 Mn 2.18, 2 Pu 2.21
O  0.5000  0.7470  0.0000  2 Mn 2.18, 2 Pu 2.21
O  0.0000  0.2530  0.0000  2 Mn 2.18, 2 Pu 2.21

# 9
The following is a DFT calculation (PBE+U) of crystalline PuMnTeO6 at its relaxed geometry.

crystal system = trigonal
N(E_F) = 12.86 states/eV per cell

Unit cell a=5.6133 b=5.6133 c=9.1250 alpha=90.00 beta=90.00 gamma=120.00
Last column: nearest neighbours and their distance in Å.
Atoms (fractional coordinates):
Pu  0.6667  0.3333  0.2500  6 O 2.11
Pu  0.3333  0.6667  0.7500  6 O 2.11
Mn  0.0000  0.0000  0.0000  6 O 2.28
Mn  0.0000  0.0000  0.5000  6 O 2.28
Te  0.3333  0.6667  0.2500  6 O 2.16
Te  0.6667  0.3333  0.7500  6 O 2.16
O  0.6592  0.6518  0.1320  1 Pu 2.11, 1 Te 2.16, 1 Mn 2.28
O  0.9926  0.3408  0.1320  1 Pu 2.11, 1 Te 2.16, 1 Mn 2.28
O  0.3408  0.9926  0.6320  1 Pu 2.11, 1 Te 2.16, 1 Mn 2.28
O  0.0074  0.6592  0.8680  1 Pu 2.11, 1 Te 2.16, 1 Mn 2.28
O  0.3482  0.3408  0.3680  1 Pu 2.11, 1 Te 2.16, 1 Mn 2.28
O  0.9926  0.6518  0.3680  1 Pu 2.11, 1 Te 2.16, 1 Mn 2.28
O  0.6518  0.9926  0.8680  1 Pu 2.11, 1 Te 2.16, 1 Mn 2.28
O  0.6592  0.0074  0.3680  1 Pu 2.11, 1 Te 2.16, 1 Mn 2.28
O  0.0074  0.3482  0.6320  1 Pu 2.11, 1 Te 2.16, 1 Mn 2.28
O  0.3482  0.0074  0.1320  1 Pu 2.11, 1 Te 2.16, 1 Mn 2.28
O  0.6518  0.6592  0.6320  1 Pu 2.11, 1 Te 2.16, 1 Mn 2.28
O  0.3408  0.3482  0.8680  1 Pu 2.11, 1 Te 2.16, 1 Mn 2.28

no.,VASP energy (eV for the cell shown)
1,-155.839
2,-145.695
3,-115.548
4,-71.839
5,-102.486
6,-156.358
7,-158.774
8,-83.631
9,-140.392